No. 1
Material: HoMg2Tl
Method: DFT, PBE-GGA
State: optimized geometry

Values from the calculation:
Offset from the most stable computed form, meV per atom: 114
ΔE_f, eV per atom: -0.092
Symmetry: P2/m (10)

a = 3.3677 Å, b = 5.0442 Å, c = 6.1534 Å
α = 90.00°, β = 101.39°, γ = 90.00°
Fractional positions:
Ho 0.0000 0.0000 0.0000
Mg 0.3752 0.5000 0.7457
Mg 0.6248 0.5000 0.2543
Tl 0.5000 0.0000 0.5000

***

No. 2
Material: HoMg2Tl2
Method: DFT, PBE-GGA
State: optimized geometry

Values from the calculation:
Offset from the most stable computed form, meV per atom: 0
ΔE_f, eV per atom: -0.086
Symmetry: I4/mmm (139)

a = 7.1983 Å, b = 7.1983 Å, c = 7.1983 Å
α = 143.97°, β = 143.97°, γ = 51.87°
Fractional positions:
Ho 0.0000 0.0000 0.0000
Mg 0.2500 0.7500 0.5000
Mg 0.7500 0.2500 0.5000
Tl 0.3905 0.3905 0.0000
Tl 0.6095 0.6095 0.0000

***

Number 1: calculated volume 102.5 Å³/cell, M_tot 0.00 μB per cell. Number 2: calculated volume 128.3 Å³/cell, M_tot 0.00 μB per cell.